Here is an optimized crystal structure of TcRh2W from the Alexandria database. Energies are from PBEsol.

Output
polymorph energy (0 for the lowest one) = 77 meV/atom
E_form = -147 meV/atom

Structure (CIF):
```
data_TcRh2W
_chemical_formula_sum 'Tc2 Rh4 W2'
_space_group_name_H-M_alt 'C m m m'
_space_group_IT_number 65
_space_group_name_Hall '-C 2 2'
_cell_length_a 5.367
_cell_length_b 7.762
_cell_length_c 2.692
_cell_angle_alpha 90.00
_cell_angle_beta 90.00
_cell_angle_gamma 90.00
loop_
_atom_site_label
_atom_site_type_symbol
_atom_site_fract_x
_atom_site_fract_y
_atom_site_fract_z
Tc1 Tc 0.000 0.000 0.000
Rh1 Rh 0.250 0.250 0.500
W1 W 0.000 0.500 0.000
```